Computed, not measured: an optimized crystal structure of Zr2InBr at the PBEsol level of DFT.

Fermi-level density of states: 3.402 states/eV/cell
Formation energy from raw total energies: -25.5 kJ per mole of atoms
Calculated total energy: -0.2213 Ha/atom

a = 3.2045 Å, b = 5.0965 Å, c = 5.0965 Å
α = 90.01°, β = 90.00°, γ = 90.00°
Element x y z (fractional)
In  0.5000  0.5000  0.5000
Br  0.5000  0.0000  0.0000
Zr  0.0000  0.5000  0.0000
Zr  0.0000  0.0000  0.5000